DFT (PBE-GGA) results for a geometry-optimized Sr2Cd2Pt structure.

As for the crystal system: monoclinic. The excess energy over the best structure of this formula in the dataset comes out at 0.0000 eV/atom.

The structure belongs to space group C2/m (No. 12); the cell edges are 11.7482, 4.3927 and 12.2625 Å and the angles 90.00°, 111.75° and 90.00°. The distinct sites, in fractional coordinates, are Sr at (0.0058, 0.0000, 0.1643), Sr at (0.1935, 0.0000, 0.6310), Cd at (0.0278, 0.5000, 0.3901), Cd at (0.1778, 0.5000, 0.0514) and Pt at (0.1877, 0.5000, 0.8152).


DFT (PBE-GGA) results for a geometry-optimized SrCd3Pt structure.

As for the crystal system: cubic. The excess energy over the best structure of this formula in the dataset comes out at 0.1304 eV/atom.

The structure belongs to space group Pm-3m (No. 221); the cell edges are 5.2442, 5.2442 and 5.2442 Å and the angles 90.00°, 90.00° and 90.00°. The distinct sites, in fractional coordinates, are Sr at (0.0000, 0.0000, 0.0000), Cd at (0.0000, 0.5000, 0.5000) and Pt at (0.5000, 0.5000, 0.5000).


DFT (PBE-GGA) results for a geometry-optimized Sr2Cd3Pt structure.

As for the crystal system: monoclinic.

The structure belongs to space group Cm (No. 8); the cell edges are 11.2848, 4.8274 and 7.8344 Å and the angles 90.00°, 129.62° and 90.00°. The distinct sites, in fractional coordinates, are Sr at (0.0000, 0.0000, 0.0000), Sr at (0.1177, 0.0000, 0.6246), Cd at (0.2119, 0.5000, 0.0174), Cd at (0.2381, 0.5000, 0.4296), Cd at (0.3933, 0.0000, 0.2437) and Pt at (0.4081, 0.0000, 0.6304).


no.,total energy (eV per atom),ΔH_f (0 K) (meV per atom)
1,-2.783,-536
2,-2.386,-293
3,-2.504,-479